Compound: KCr2Cu
Source: Alexandria
Functional: PBEsol
Structure: relaxed

Cell and atoms, written as CIF:
```
data_KCr2Cu
_chemical_formula_sum 'K3 Cr6 Cu3'
_symmetry_space_group_name_H-M 'R -3 m'
_symmetry_Int_Tables_number 166
_symmetry_space_group_name_Hall '-R 3 2"'
_cell_length_a 2.9624
_cell_length_b 2.9624
_cell_length_c 29.5264
_cell_angle_alpha 90.00
_cell_angle_beta 90.00
_cell_angle_gamma 120.00
loop_
_atom_site_label
_atom_site_type_symbol
_atom_site_fract_x
_atom_site_fract_y
_atom_site_fract_z
K1 K 0.0000 0.0000 0.0000
Cr1 Cr 0.0000 0.0000 0.2318
Cu1 Cu 0.0000 0.0000 0.5000
```

Results
The value obtained for the uncorrected energy is -62.641 eV per cell. The theoretical density comes out at 4.59 g cm⁻³. The excess energy over the best structure of this formula in the dataset is 520 meV per atom.